(1)
5
Lattice="5.1015 0.0000 0.0000 0.0000 3.9068 0.0000 0.0000 0.0000 5.1015" Properties=species:S:1:pos:R:3 comment="CdRu2AuO (GGA-PBE, relaxed)" rho_g_cm3=8.6 final_energy_ev_per_atom=-4.12 sg="P4/mmm, No. 123" e_form_raw_ev_per_atom=1.421 pbc="T T T"
Ru 0.0000 0.0000 2.5508
Ru 2.5508 0.0000 0.0000
Au 0.0000 0.0000 0.0000
O 0.0000 1.9534 0.0000
Cd 2.5508 1.9534 2.5508

(2)
12
Lattice="4.0642 0.0000 0.0000 0.0000 4.0657 0.0000 0.0000 0.0000 11.7906" Properties=species:S:1:pos:R:3 comment="ThNF (GGA-PBE, relaxed)" relative_energy_mev_per_atom=0 rho_g_cm3=9.0 final_energy_ev_per_atom=-8.73 sg="P4/nmm, No. 129" e_form_raw_ev_per_atom=-2.857 pbc="T T T"
Th 1.0161 1.0180 1.7639
Th 1.0161 1.0148 7.6592
Th 3.0482 3.0476 10.0267
Th 3.0482 3.0509 4.1314
F 1.0161 3.0495 11.7894
F 3.0482 1.0162 0.0012
F 1.0161 3.0490 5.8941
F 3.0482 1.0167 5.8966
N 3.0482 1.0146 8.8440
N 1.0161 3.0510 2.9466
N 3.0482 1.0182 2.9487
N 1.0161 3.0475 8.8419

(3)
4
Lattice="2.3969 0.0000 6.7023 -1.1984 2.0758 6.7023 -1.1984 -2.0758 6.7023" Properties=species:S:1:pos:R:3 comment="Te2HPt (GGA-PBE, relaxed)" relative_energy_mev_per_atom=0 rho_g_cm3=7.5 final_energy_ev_per_atom=-3.98 sg="R-3m, No. 166" pbc="T T T"
Te 0.0000 0.0000 18.0971
Te 0.0000 0.0000 2.0099
Pt 0.0000 0.0000 10.0535
H 0.0000 0.0000 0.0000

(4)
5
Lattice="5.1500 0.0000 0.0000 0.0000 6.0587 0.0000 0.0000 0.0000 5.1500" Properties=species:S:1:pos:R:3 comment="Li2CaZnSb (GGA-PBE, relaxed)" rho_g_cm3=2.5 final_energy_ev_per_atom=-2.43 sg="P4/mmm, No. 123" e_form_raw_ev_per_atom=-0.186 pbc="T T T"
Zn 2.5750 3.0294 2.5750
Li 0.0000 0.0000 2.5750
Li 2.5750 0.0000 0.0000
Ca 0.0000 3.0294 0.0000
Sb 0.0000 0.0000 0.0000

Please write out number 2 again, unchanged.
12
Lattice="4.0642 0.0000 0.0000 0.0000 4.0657 0.0000 0.0000 0.0000 11.7906" Properties=species:S:1:pos:R:3 comment="ThNF (GGA-PBE, relaxed)" relative_energy_mev_per_atom=0 rho_g_cm3=9.0 final_energy_ev_per_atom=-8.73 sg="P4/nmm, No. 129" e_form_raw_ev_per_atom=-2.857 pbc="T T T"
Th 1.0161 1.0180 1.7639
Th 1.0161 1.0148 7.6592
Th 3.0482 3.0476 10.0267
Th 3.0482 3.0509 4.1314
F 1.0161 3.0495 11.7894
F 3.0482 1.0162 0.0012
F 1.0161 3.0490 5.8941
F 3.0482 1.0167 5.8966
N 3.0482 1.0146 8.8440
N 1.0161 3.0510 2.9466
N 3.0482 1.0182 2.9487
N 1.0161 3.0475 8.8419